# CsPm4Ge4

Crystalline CsPm4Ge4 at its relaxed geometry (PBE, Alexandria via LeMat-Bulk).

Unit cell a=5.8934 b=10.0186 c=10.0186 alpha=90.00 beta=90.00 gamma=90.00
Fractional positions:
Cs (0.0000, 0.0000, 0.0000)
Cs (0.5000, 0.5000, 0.5000)
Pm (0.3850, 0.3694, 0.8736)
Pm (0.8850, 0.6264, 0.8694)
Pm (0.3850, 0.6306, 0.1264)
Pm (0.1150, 0.1306, 0.6264)
Pm (0.6150, 0.8736, 0.6306)
Pm (0.1150, 0.8694, 0.3736)
Pm (0.8850, 0.3736, 0.1306)
Pm (0.6150, 0.1264, 0.3694)
Ge (0.6089, 0.8272, 0.3147)
Ge (0.6089, 0.1728, 0.6853)
Ge (0.1089, 0.8147, 0.6728)
Ge (0.8911, 0.3272, 0.8147)
Ge (0.8911, 0.6728, 0.1853)
Ge (0.3911, 0.3147, 0.1728)
Ge (0.3911, 0.6853, 0.8272)
Ge (0.1089, 0.1853, 0.3272)

Formation enthalpy at 0 K = -503 meV/atom
SG = P4_2/n, No. 86